The following is a GGA-PBE calculation of an optimized crystal structure of CsKTi2Cl8, from Alexandria via LeMat-Bulk.

The structure in extended XYZ format:
```
12
Lattice="-5.4359 3.7584 2.3946 -5.8203 0.6334 -3.8899 -7.5012 -6.6870 3.7840" Properties=species:S:1:pos:R:3 pbc="T T T"
Cl -6.2585 1.0206 0.8511
Cl -13.1699 0.2312 0.6906
Cl -8.9606 -4.9205 1.4810
Cl -9.7968 2.6253 0.8077
Cl -5.5875 -2.5264 1.5981
Cl -10.1620 -2.7840 4.4957
Cl -8.5955 0.4888 -2.2070
Cl -12.4989 -3.3158 1.4375
Cs -9.3787 -1.1476 1.1443
Ti -4.7300 -0.6621 0.6186
Ti -14.0275 -1.6331 1.6701
K 0.0000 0.0000 0.0000
```

electronic total energy = -4.399 eV/atom
space group = No. 148
size of the total moment = 2.0 Bohr magnetons per cell

=====

The following is a GGA-PBE calculation of an optimized crystal structure of CsKTiCl2, from Alexandria via LeMat-Bulk.

The structure in extended XYZ format:
```
5
Lattice="-5.4817 3.2468 -0.9302 -2.2163 -4.7961 -3.6799 -2.4193 -2.6701 4.9371" Properties=species:S:1:pos:R:3 pbc="T T T"
K -5.0586 -2.1097 0.1635
Ti -1.2096 -1.3351 2.4685
Cl -2.7409 1.6234 -0.4651
Cl -1.1081 -2.3980 -1.8400
Cs 0.0000 0.0000 0.0000
```

electronic total energy = -2.843 eV/atom
space group = No. 123
size of the total moment = 3.8 Bohr magnetons per cell

=====

The following is a GGA-PBE calculation of an optimized crystal structure of Cs2KTlCl5, from Alexandria via LeMat-Bulk.

The structure in extended XYZ format:
```
18
Lattice="-3.2230 -1.1911 3.6700 8.8763 -0.0317 4.3412 -1.4704 13.5471 3.1054" Properties=species:S:1:pos:R:3 pbc="T T T"
Cl 1.2311 1.3062 4.9486
Cl 5.9677 9.8804 8.4474
Cl 4.2641 5.9430 9.1170
Cl -1.8572 3.1112 2.8222
Cl 4.2296 4.7378 5.2521
Cl 3.2164 8.5796 5.6091
Cl -0.5957 6.0639 4.8884
Cl 5.5057 -0.4383 4.6927
Cl -0.4298 11.1155 6.6736
Cl 0.5804 0.2857 0.6024
Tl -2.5848 12.3359 5.1772
Tl 6.1580 5.6057 7.2272
Cs 0.6161 9.2483 3.5426
Cs 2.3506 9.9412 8.7342
Cs 1.6539 4.0260 2.7591
Cs 3.7341 1.5344 7.2207
K 3.0675 0.0067 2.6960
K 1.7911 6.0923 6.9936
```

electronic total energy = -3.159 eV/atom
space group = No. 36
size of the total moment = 0.0 Bohr magnetons per cell

=====

The following is a GGA-PBE calculation of an optimized crystal structure of Cs2KTlCl6, from Alexandria via LeMat-Bulk.

The structure in extended XYZ format:
```
10
Lattice="-3.2611 7.1864 1.1219 -6.8419 0.6865 4.0319 -0.0317 3.2716 7.2687" Properties=species:S:1:pos:R:3 pbc="T T T"
Cs -7.6010 8.3584 9.3168
Cs -2.5337 2.7861 3.1056
K 0.0000 0.0000 0.0000
Cl -7.4104 6.6428 5.7192
Cl -5.8930 3.2990 5.1972
Cl -4.2417 7.8456 7.2252
Cl -2.7243 4.5018 6.7032
Cl -5.9077 4.8213 8.5792
Cl -4.2269 6.3233 3.8432
Tl -5.0673 5.5723 6.2112
```

electronic total energy = -3.129 eV/atom
space group = No. 225
size of the total moment = 0.0 Bohr magnetons per cell

=====

The following is a GGA-PBE calculation of an optimized crystal structure of CsKTl2Cl8, from Alexandria via LeMat-Bulk.

The structure in extended XYZ format:
```
12
Lattice="-4.9902 -4.0526 -3.3811 0.5794 -5.0456 5.1926 -3.7327 8.2821 3.3841" Properties=species:S:1:pos:R:3 pbc="T T T"
Cl -3.7046 3.2883 5.2715
Cl -1.0938 0.5001 3.2257
Cl -2.2270 -3.0938 4.7845
Cl -2.4687 -2.0833 0.8926
Cl -4.9898 -0.2831 3.9223
Cl -3.8240 -5.8319 2.2785
Cl -6.2898 2.9945 1.9487
Cl -2.4069 0.2515 7.0324
Tl -2.6794 -0.6563 4.7412
Tl -2.2054 -4.5491 0.9058
K 0.0000 0.0000 0.0000
Cs -5.4642 -0.1598 0.4544
```

electronic total energy = -2.940 eV/atom
space group = No. 82
size of the total moment = 0.0 Bohr magnetons per cell

=====

The following is a GGA-PBE calculation of an optimized crystal structure of Cs3KTl2Cl9, from Alexandria via LeMat-Bulk.

The structure in extended XYZ format:
```
15
Lattice="-3.6162 -1.5974 -6.8006 7.4998 -2.1228 1.0600 -2.9837 -8.7257 3.6362" Properties=species:S:1:pos:R:3 pbc="T T T"
Cs -0.8765 -4.5966 -3.0035
Cs 1.7764 -7.8493 0.8992
Cs 0.0000 0.0000 0.0000
Cl -1.8081 -0.7987 -3.4003
Cl -3.7591 -7.7050 -2.9392
Cl 1.9418 -1.8601 -2.8703
Cl -0.1345 -8.7309 -2.4269
Cl 4.6590 -4.7409 0.8349
Cl -2.0114 -6.9330 0.3474
Cl 2.9113 -5.5129 -2.4518
Cl 3.7499 -1.0614 0.5300
Cl 1.0344 -3.7150 0.3226
K -1.4918 -4.3629 1.8181
Tl -2.4133 -9.0908 -1.1307
Tl 3.3132 -3.3552 -0.9736
```

electronic total energy = -3.085 eV/atom
space group = No. 164
size of the total moment = 0.0 Bohr magnetons per cell

=====

The following is a GGA-PBE calculation of an optimized crystal structure of Cs2KTlCl, from Alexandria via LeMat-Bulk.

The structure in extended XYZ format:
```
5
Lattice="6.7947 0.0000 0.0000 0.0000 6.7947 0.0000 0.0000 0.0000 6.1161" Properties=species:S:1:pos:R:3 pbc="T T T"
K 0.0000 0.0000 3.0580
Cs 3.3973 0.0000 0.0000
Cs 0.0000 3.3973 0.0000
Cl 0.0000 0.0000 0.0000
Tl 3.3973 3.3973 3.0580
```

electronic total energy = -2.086 eV/atom
space group = No. 123
size of the total moment = 0.5 Bohr magnetons per cell

=====

The following is a GGA-PBE calculation of an optimized crystal structure of Cs4KTl3Cl8, from Alexandria via LeMat-Bulk.

The structure in extended XYZ format:
```
16
Lattice="9.5795 0.0000 0.0000 0.0000 9.5646 -0.0186 -4.7897 -4.7871 6.7782" Properties=species:S:1:pos:R:3 pbc="T T T"
Tl 2.3949 2.3888 3.3798
Tl -2.3949 2.3888 3.3798
Tl 4.7897 4.7823 -0.0093
Cl 7.2085 2.5397 0.0821
Cl 2.4187 2.2378 6.6775
Cl 4.7898 0.1208 3.5027
Cl 0.0000 4.6568 3.2569
Cl 0.0000 0.1213 3.4713
Cl 4.7897 4.6562 3.2883
Cl -2.4187 2.2378 6.6775
Cl 2.3710 2.5397 0.0821
Cs 0.0000 0.0000 0.0000
Cs 4.7897 0.0000 0.0000
Cs 2.3949 -2.3936 3.3891
Cs -2.3949 -2.3936 3.3891
K 0.0000 4.7823 -0.0093
```

electronic total energy = -3.252 eV/atom
space group = No. 166
size of the total moment = 0.0 Bohr magnetons per cell

=====

The following is a GGA-PBE calculation of an optimized crystal structure of CsK2TlCl6, from Alexandria via LeMat-Bulk.

The structure in extended XYZ format:
```
10
Lattice="-7.4182 -2.2645 -1.2344 -1.5976 -5.4256 -5.4489 -2.2776 -7.5222 2.4974" Properties=species:S:1:pos:R:3 pbc="T T T"
Cs -8.5955 -10.5488 -3.9582
Cl -3.8543 -7.5968 -5.0698
Cl -4.9871 -4.2654 -1.3992
Cl -3.5285 -8.3199 -0.3447
Cl -5.7342 -10.4389 -2.2291
Cl -7.0640 -8.2424 0.2830
Cl -8.6877 -6.9411 -3.6384
K -5.7076 -7.1945 -2.4851
K -2.3048 -7.3382 2.3214
Tl -2.9871 -2.6875 -2.1097
```

electronic total energy = -3.119 eV/atom
space group = No. 146
size of the total moment = 0.0 Bohr magnetons per cell

=====

The following is a GGA-PBE calculation of an optimized crystal structure of Cs3K2TlCl6, from Alexandria via LeMat-Bulk.

The structure in extended XYZ format:
```
12
Lattice="-4.0210 -2.0935 -1.4663 3.0104 -8.3144 3.6155 -3.1466 5.4100 8.6453" Properties=species:S:1:pos:R:3 pbc="T T T"
Cs -0.5053 -5.2040 1.0746
Cs 0.8057 -5.4940 5.6345
Cs -4.9628 0.4961 5.1599
K -3.4370 -3.6742 6.9298
K -0.7202 -1.3237 3.8647
Cl -3.3910 -0.4570 2.2106
Cl -4.8092 -3.0598 9.8155
Cl -2.0892 -0.7094 6.7417
Cl -2.0680 -4.2885 4.0527
Cl -0.7661 -4.5409 8.5839
Cl 0.6521 -1.9381 0.9790
Tl -2.0105 -1.0467 -0.7332
```

electronic total energy = -3.313 eV/atom
space group = No. 12
size of the total moment = 0.0 Bohr magnetons per cell

=====

The following is a GGA-PBE calculation of an optimized crystal structure of CsKV2Cl8, from Alexandria via LeMat-Bulk.

The structure in extended XYZ format:
```
12
Lattice="-5.3799 -4.3910 -0.2179 1.0306 -6.6793 -1.6110 -0.1141 -5.8039 9.0087" Properties=species:S:1:pos:R:3 pbc="T T T"
Cs -2.2317 -8.4371 3.5899
K 0.0000 0.0000 0.0000
Cl -4.5368 -8.9539 0.6219
Cl -0.8012 -4.7165 4.0607
Cl -3.7447 -8.0891 7.0511
Cl -3.6621 -12.1577 3.1192
Cl 0.0734 -7.9203 6.5580
Cl -1.7850 -11.2623 6.0816
Cl -2.6784 -5.6119 1.0982
Cl -0.7187 -8.7851 0.1287
V -1.1008 -4.2424 1.9035
V -3.3626 -12.6318 5.2764
```

electronic total energy = -4.390 eV/atom
space group = No. 148
size of the total moment = 4.0 Bohr magnetons per cell

=====

The following is a GGA-PBE calculation of an optimized crystal structure of Cs4KV3Cl12, from Alexandria via LeMat-Bulk.

The structure in extended XYZ format:
```
20
Lattice="-8.9658 -1.3540 0.5592 4.3589 -7.7085 2.0271 2.4527 6.4962 5.8578" Properties=species:S:1:pos:R:3 pbc="T T T"
Cl 2.2541 -2.8718 4.5891
Cl -1.5536 2.2680 5.1798
Cl -4.4082 0.3055 3.8551
Cl -0.6005 -4.8343 3.2644
Cl -3.9317 -3.2457 2.8975
Cl 4.9314 -0.8777 5.7084
Cl -1.7979 1.4195 1.7714
Cl 1.7776 0.6794 5.5468
Cl 1.8803 -0.3346 2.1766
Cl -4.7152 3.7228 4.6457
Cl -1.2717 -2.5016 0.7139
Cl -3.3352 -6.5609 1.8724
K 0.0000 0.0000 0.0000
V 3.4058 -0.6062 3.9425
V -3.2565 2.5711 3.2085
V -2.3034 -4.5312 1.2932
Cs 2.1795 -3.8543 1.0136
Cs 1.2264 3.2481 2.9289
Cs -4.4829 -0.6770 0.2796
Cs -1.0771 -1.2832 4.2221
```

electronic total energy = -4.270 eV/atom
space group = No. 229
size of the total moment = 8.0 Bohr magnetons per cell

=====

The following is a GGA-PBE calculation of an optimized crystal structure of Cs3KV2Cl9, from Alexandria via LeMat-Bulk.

The structure in extended XYZ format:
```
15
Lattice="-4.2873 -4.8078 -3.6710 6.3299 -2.2970 3.1029 -4.5998 -1.9569 7.9349" Properties=species:S:1:pos:R:3 pbc="T T T"
Cl -5.5851 -5.7242 3.1247
Cl -3.6339 -3.5362 4.7954
Cl -2.7043 -6.7696 4.5369
Cl 1.0213 -3.5524 -0.2840
Cl 1.0767 -5.5254 2.5714
Cl 3.0279 -3.3374 4.2421
Cl 3.1650 -1.1485 1.5515
Cl 0.1471 -2.2920 2.8299
Cl -2.1437 -2.4039 -1.8355
Cs 0.0000 0.0000 0.0000
Cs -0.2924 -4.4456 6.1637
Cs -2.2648 -4.6160 1.2031
K -2.2999 -0.9785 3.9674
V -4.6501 -5.6308 5.3179
V 2.0929 -3.4308 2.0489
```

electronic total energy = -4.202 eV/atom
space group = No. 164
size of the total moment = 5.0 Bohr magnetons per cell

=====

The following is a GGA-PBE calculation of an optimized crystal structure of CsK2VCl6, from Alexandria via LeMat-Bulk.

The structure in extended XYZ format:
```
10
Lattice="7.6664 0.0010 0.0002 3.8340 6.6391 -0.0004 3.8335 2.2132 6.6375" Properties=species:S:1:pos:R:3 pbc="T T T"
Cl 2.9447 4.0135 1.4896
Cl 2.7188 0.5442 1.4906
Cl 5.7400 4.4453 5.3274
Cl 5.8364 2.0837 1.4903
Cl 8.6475 6.0854 5.3275
Cl 8.6137 2.7477 5.3282
K 7.6672 4.4267 2.6885
K 3.8336 2.2132 6.2817
V 3.8334 2.2134 0.1444
Cs 11.5003 6.6396 3.7191
```

electronic total energy = -3.986 eV/atom
space group = No. 146
size of the total moment = 2.0 Bohr magnetons per cell

=====

The following is a GGA-PBE calculation of an optimized crystal structure of CsKWCl6, from Alexandria via LeMat-Bulk.

The structure in extended XYZ format:
```
18
Lattice="7.9976 0.0000 0.0000 -3.9988 6.9261 0.0000 0.0000 0.0000 11.0391" Properties=species:S:1:pos:R:3 pbc="T T T"
Cl 1.9489 4.7247 6.8781
Cl 5.0661 0.6745 4.1610
Cl 1.0673 6.2515 9.6806
Cl 4.8803 4.0501 4.1610
Cl -1.9489 4.7247 9.6806
Cl -1.0674 6.2515 6.8781
Cl 2.0499 2.2014 4.1610
Cl 3.1172 4.0501 1.3585
Cl -0.8815 2.8760 6.8781
Cl 0.8815 2.8760 9.6806
Cl 5.9477 2.2014 1.3585
Cl 2.9314 0.6745 1.3585
K 0.0000 0.0000 5.5196
K 0.0000 0.0000 0.0000
W 3.9988 2.3087 2.7598
W 0.0000 4.6174 8.2793
Cs 3.9988 2.3087 8.2793
Cs 0.0000 4.6174 2.7598
```

electronic total energy = -4.215 eV/atom
space group = No. 163
size of the total moment = 4.0 Bohr magnetons per cell

=====

The following is a GGA-PBE calculation of an optimized crystal structure of Cs2KWCl6, from Alexandria via LeMat-Bulk.

The structure in extended XYZ format:
```
20
Lattice="-3.3152 -5.2817 4.2380 4.1652 -4.3778 4.5092 -1.2540 6.3027 13.5807" Properties=species:S:1:pos:R:3 pbc="T T T"
K -0.6048 0.8167 13.9583
K 0.2008 -4.1734 8.3696
Cs 0.2213 -5.7649 13.1090
Cs -0.6252 2.4082 9.2189
Cs -0.5483 -0.9977 18.4481
Cs 0.1444 -2.3590 3.8798
W -0.2020 -1.6784 11.1640
W 0.0000 0.0000 0.0000
Cl -1.7171 -3.5767 10.7205
Cl 1.3131 0.2200 11.6074
Cl 2.3578 -4.3730 6.1834
Cl -2.7617 1.0163 16.1445
Cl -2.1528 -0.1988 11.4818
Cl -0.2229 -2.2272 13.5711
Cl 1.2810 1.5048 16.2911
Cl -1.6850 -4.8615 6.0368
Cl 0.5661 -7.2275 8.4739
Cl -0.9700 3.8707 13.8541
Cl -0.1810 -1.1295 8.7568
Cl 1.7489 -3.1579 10.8461
```

offset from the most stable computed form = 0.070 eV per formula unit
electronic total energy = -4.153 eV/atom
space group = No. 166
size of the total moment = 6.0 Bohr magnetons per cell

=====

The following is a GGA-PBE calculation of an optimized crystal structure of Cs2KWCl6, from Alexandria via LeMat-Bulk.

The structure in extended XYZ format:
```
10
Lattice="-5.9860 2.3640 -4.3216 -3.5353 -6.7978 1.1784 -7.1860 -0.1801 2.9020" Properties=species:S:1:pos:R:3 pbc="T T T"
Cs -8.9664 -0.0165 -1.4956
Cs -7.7410 -4.5974 1.2544
Cl -5.4369 0.3110 -3.0892
Cl -10.6084 -3.5209 -1.1381
Cl -6.0990 -1.0930 0.8969
Cl -2.1336 -0.9935 -0.7043
Cl -7.3878 -3.4403 -2.4389
Cl -4.0845 -4.7448 -0.0541
K -4.7607 -2.2169 -1.5716
W 0.0000 0.0000 0.0000
```

offset from the most stable computed form = 0.000 eV per formula unit
electronic total energy = -4.160 eV/atom
space group = No. 225
size of the total moment = 3.0 Bohr magnetons per cell

=====

The following is a GGA-PBE calculation of an optimized crystal structure of CsKZn2Cl6, from Alexandria via LeMat-Bulk.

The structure in extended XYZ format:
```
20
Lattice="-7.7763 -3.8046 -4.5454 5.0972 -0.9470 -8.2903 2.2921 -5.9788 3.3173" Properties=species:S:1:pos:R:3 pbc="T T T"
Cl 0.2566 -9.8307 -7.7196
Cl 4.3551 -5.7233 -2.8607
Cl -4.7421 -5.0071 -6.6576
Cl -1.2190 -7.1887 -5.3622
Cl 1.0670 -3.7637 -0.3043
Cl 0.8320 -3.5418 -4.1561
Cl -0.1518 -3.7080 -7.6647
Cl -0.2352 -7.0224 -1.8536
Cl -1.4540 -6.9667 -9.2140
Cl -0.6436 -0.8997 -1.7987
Cl 3.3126 -6.4630 -7.0086
Cl -3.6996 -4.2674 -2.5097
Zn -0.4428 -4.8301 -9.5765
Zn -1.5383 -8.3170 -7.2658
Zn 1.1513 -2.4134 -2.2525
Zn 0.0558 -5.9003 0.0582
Cs 3.3488 -2.9570 -6.7856
Cs -3.7358 -7.7734 -2.7327
K 1.6975 -6.5673 -4.3132
K -2.0845 -4.1631 -5.2051
```

electronic total energy = -3.074 eV/atom
space group = No. 15
size of the total moment = 0.0 Bohr magnetons per cell

=====

The following is a GGA-PBE calculation of an optimized crystal structure of Cs2KZnCl6, from Alexandria via LeMat-Bulk.

The structure in extended XYZ format:
```
10
Lattice="7.7554 0.0000 0.0000 0.0000 7.7554 0.0000 3.8777 3.8777 5.4831" Properties=species:S:1:pos:R:3 pbc="T T T"
K 3.8777 3.8777 0.0000
Cl 6.0143 6.0143 0.0000
Cl 1.7412 6.0143 0.0000
Cl 1.7412 1.7412 0.0000
Cl 6.0143 1.7412 0.0000
Cl 3.8777 3.8777 3.0219
Cl 7.7554 7.7554 2.4613
Cs 3.8777 7.7554 2.7416
Cs 7.7554 3.8777 2.7416
Zn 0.0000 0.0000 0.0000
```

electronic total energy = -2.962 eV/atom
space group = No. 225
size of the total moment = 1.0 Bohr magnetons per cell